(1)
KPO2F2: optimized geometry, GGA-PBEsol.

It has space group Pnma (No. 62), with a = 7.968 Å, b = 6.143 Å, c = 7.655 Å, α = 90.00°, β = 90.00° and γ = 90.00°. Symmetry generates all atoms from K at (0.151, 0.250, 0.142), P at (0.092, 0.250, 0.695), O at (0.098, 0.038, 0.788), F at (0.063, 0.750, 0.435) and F at (0.234, 0.250, 0.549).

The calculation puts the formation energy without anion corrections at -15.1 eV per formula unit. For the total moment, the calculation gives 0.0 μB per formula unit.

(2)
K3V2P2O8F3: optimized geometry, GGA-PBEsol.

It has space group Cmc2_1 (No. 36), with a = 11.460 Å, b = 9.089 Å, c = 9.148 Å, α = 90.00°, β = 90.00° and γ = 90.00°. Symmetry generates all atoms from K at (0.000, 0.029, 0.000), K at (0.000, 0.314, 0.203), K at (0.000, 0.315, 0.797), V at (0.180, 0.257, 0.500), P at (0.240, 0.000, 0.250), O at (0.160, 0.103, 0.342), O at (0.160, 0.103, 0.659), O at (0.178, 0.410, 0.350), O at (0.178, 0.410, 0.650), F at (0.000, 0.264, 0.500) and F at (0.152, 0.250, 0.000).

The calculation puts the formation energy without anion corrections at -44.2 eV per formula unit. For the total moment, the calculation gives 4.0 μB per formula unit.

(3)
KRb2WO3F3: optimized geometry, GGA-PBEsol.

It has space group Fmm2 (No. 42), with a = 8.794 Å, b = 8.943 Å, c = 9.089 Å, α = 90.00°, β = 90.00° and γ = 90.00°. Symmetry generates all atoms from K at (0.000, 0.000, 0.000), Rb at (0.250, 0.250, 0.263), W at (0.000, 0.000, 0.513), O at (0.000, 0.000, 0.709), O at (0.205, 0.000, 0.474), F at (0.000, 0.000, 0.276) and F at (0.000, 0.221, 0.497).

The calculation puts the formation energy without anion corrections at -24.5 eV per formula unit. For the total moment, the calculation gives 0.0 μB per formula unit.